(1)
First-principles (GGA-PBE) data for crystalline SrMn2PtI at its relaxed geometry, as listed in Alexandria via LeMat-Bulk.

Computed properties:
* size of the total moment: 9.17 μB per cell
* total DFT energy (no corrections): -5.58 eV per atom
* DOS(E_F): 0.4686 states/eV/atom

Geometry as CIF:
```
data_SrMn2PtI
_space_group_name_H-M_alt 'P 4/m m m'
_space_group_IT_number 123
_space_group_name_Hall '-P 4 2'
_cell_length_a 4.987
_cell_length_b 4.987
_cell_length_c 6.092
_cell_angle_alpha 90.00
_cell_angle_beta 90.00
_cell_angle_gamma 90.00
loop_
_atom_site_label
_atom_site_fract_x
_atom_site_fract_y
_atom_site_fract_z
_atom_site_occupancy
Sr1 0.000 0.000 0.000 1
Mn1 0.000 0.500 0.500 1
Pt1 0.000 0.000 0.500 1
I1 0.500 0.500 0.000 1
```


(2)
First-principles (GGA-PBE) data for crystalline CrWCl2 at its relaxed geometry, as listed in Alexandria via LeMat-Bulk.

Computed properties:
* size of the total moment: 2.30 μB per cell
* total DFT energy (no corrections): -5.62 eV per atom
* DOS(E_F): 0.7013 states/eV/atom

Geometry as CIF:
```
data_CrWCl2
_space_group_name_H-M_alt 'P 4/m m m'
_space_group_IT_number 123
_space_group_name_Hall '-P 4 2'
_cell_length_a 4.445
_cell_length_b 4.445
_cell_length_c 3.255
_cell_angle_alpha 90.00
_cell_angle_beta 90.00
_cell_angle_gamma 90.00
loop_
_atom_site_label
_atom_site_fract_x
_atom_site_fract_y
_atom_site_fract_z
_atom_site_occupancy
Cr1 0.000 0.000 0.000 1
W1 0.500 0.500 0.000 1
Cl1 0.000 0.500 0.500 1
```